A plane-wave DFT calculation with PBE was carried out for Nd5Y3Ho2 after structural relaxation.

a b c (Å): 10.133 10.115 11.333
angles (deg): 129.82 129.86 64.26
Atoms (fractional coordinates):
Y (0.719, 0.476, 0.252)
Nd (0.371, 0.122, 0.757)
Nd (0.114, 0.365, 0.243)
Y (0.033, 0.775, 0.252)
Y (0.967, 0.225, 0.748)
Ho (0.525, 0.282, 0.248)
Ho (0.777, 0.035, 0.752)
Nd (0.728, 0.478, 0.955)
Y (0.281, 0.524, 0.748)
Nd (0.484, 0.734, 0.468)
Nd (0.272, 0.522, 0.045)
Y (0.230, 0.980, 0.960)
Nd (0.516, 0.266, 0.532)
Nd (0.023, 0.773, 0.546)
Y (0.770, 0.020, 0.040)
Nd (0.977, 0.227, 0.454)
Nd (0.629, 0.878, 0.243)
Ho (0.223, 0.965, 0.248)
Ho (0.475, 0.718, 0.752)
Nd (0.886, 0.635, 0.757)

Properties
Calculated formation energy (eV per atom): 0.18
Total magnetization (μB per formula unit): 0.0

A plane-wave DFT calculation with PBE was carried out for PuBePd2 after structural relaxation.

a b c (Å): 2.915 2.915 7.429
angles (deg): 90.00 90.00 90.00
Site moments in Bohr magnetons follow the coordinates.
Atoms (fractional coordinates):
Pd (0.000, 0.000, 0.815)  0.05
Pd (0.000, 0.000, 0.185)  0.05
Pu (0.500, 0.500, 0.500)  5.46
Be (0.500, 0.500, 0.000)  0.00

Properties
Calculated formation energy (eV per atom): -0.41
Total magnetization (μB per formula unit): 5.7

A plane-wave DFT calculation with PBE was carried out for FeOsW2 after structural relaxation.

a b c (Å): 4.696 4.696 2.780
angles (deg): 90.00 90.00 108.13
Site moments in Bohr magnetons follow the coordinates.
Atoms (fractional coordinates):
W (0.500, 0.500, 0.000)  -0.09
Fe (0.500, 0.000, 0.500)  1.39
W (0.000, 0.000, 0.000)  -0.09
Os (0.000, 0.500, 0.500)  0.07

Properties
Calculated formation energy (eV per atom): 0.14
Total magnetization (μB per formula unit): 1.3

A plane-wave DFT calculation with PBE was carried out for SrSc4Pt5 after structural relaxation.

a b c (Å): 3.357 3.357 17.082
angles (deg): 90.00 90.00 90.00
Atoms (fractional coordinates):
Pt (0.500, 0.500, 0.316)
Sc (0.000, 0.000, 0.594)
Pt (0.500, 0.500, 0.500)
Sc (0.000, 0.000, 0.786)
Pt (0.500, 0.500, 0.867)
Pt (0.500, 0.500, 0.684)
Pt (0.500, 0.500, 0.133)
Sc (0.000, 0.000, 0.214)
Sc (0.000, 0.000, 0.406)
Sr (0.000, 0.000, 0.000)

Properties
Calculated formation energy (eV per atom): -1.15
Total magnetization (μB per formula unit): 0.0

A plane-wave DFT calculation with PBE was carried out for Al2O3 after structural relaxation.

a b c (Å): 5.657 5.657 23.661
angles (deg): 90.00 90.83 90.00
Atoms (fractional coordinates):
O (0.255, 0.731, 0.998)
Al (0.505, 0.270, 0.541)
O (0.020, 0.019, 0.752)
O (0.520, 0.981, 0.252)
O (0.496, 0.466, 0.412)
Al (0.519, 0.511, 0.670)
O (0.980, 0.981, 0.248)
O (0.743, 0.764, 0.665)
Al (0.258, 0.225, 0.079)
Al (0.020, 0.982, 0.171)
O (0.004, 0.526, 0.582)
O (0.745, 0.269, 0.002)
O (0.247, 0.270, 0.498)
Al (0.242, 0.225, 0.421)
O (0.231, 0.736, 0.162)
O (0.004, 0.466, 0.088)
Al (0.500, 0.500, 0.000)
O (0.731, 0.264, 0.662)
O (0.272, 0.264, 0.668)
Al (0.250, 0.266, 0.750)
Al (0.480, 0.982, 0.329)
Al (0.981, 0.511, 0.830)
O (0.757, 0.764, 0.835)
O (0.004, 0.986, 0.588)
O (0.996, 0.474, 0.418)
Al (0.005, 0.730, 0.041)
O (0.996, 0.534, 0.912)
O (0.778, 0.236, 0.162)
Al (0.750, 0.734, 0.250)
O (0.722, 0.236, 0.338)
Al (0.495, 0.730, 0.459)
O (0.253, 0.270, 0.002)
Al (0.019, 0.489, 0.170)
Al (0.482, 0.765, 0.791)
Al (0.501, 0.742, 0.125)
Al (0.251, 0.774, 0.580)
O (0.728, 0.736, 0.332)
Al (0.481, 0.489, 0.330)
O (0.504, 0.474, 0.082)
O (0.769, 0.264, 0.838)
O (0.996, 0.998, 0.915)
O (0.496, 0.002, 0.415)
O (0.269, 0.736, 0.338)
O (0.228, 0.264, 0.832)
Al (0.249, 0.774, 0.920)
O (0.243, 0.236, 0.165)
Al (0.000, 0.500, 0.500)
O (0.278, 0.764, 0.662)
O (0.257, 0.236, 0.335)
O (0.504, 0.014, 0.088)
Al (0.999, 0.742, 0.375)
O (0.480, 0.019, 0.748)
O (0.020, 0.511, 0.752)
Al (0.018, 0.765, 0.709)
O (0.496, 0.526, 0.918)
O (0.504, 0.998, 0.585)
Al (0.742, 0.775, 0.921)
O (0.004, 0.002, 0.085)
Al (0.520, 0.018, 0.671)
Al (0.980, 0.018, 0.829)
O (0.755, 0.269, 0.498)
Al (0.758, 0.775, 0.579)
O (0.520, 0.489, 0.252)
O (0.980, 0.489, 0.248)
Al (0.982, 0.235, 0.291)
O (0.480, 0.511, 0.748)
O (0.753, 0.730, 0.502)
Al (0.499, 0.258, 0.875)
O (0.772, 0.736, 0.168)
O (0.245, 0.731, 0.502)
O (0.996, 0.014, 0.412)
O (0.496, 0.986, 0.912)
Al (0.751, 0.226, 0.080)
O (0.747, 0.730, 0.998)
O (0.504, 0.534, 0.588)
O (0.222, 0.764, 0.838)
Al (0.995, 0.270, 0.959)
Al (0.518, 0.235, 0.209)
Al (0.749, 0.226, 0.420)
Al (0.001, 0.258, 0.625)

Properties
Total magnetization (μB per formula unit): 0.0
Energy relative to the elements, uncorrected (eV/atom): -2.9765

A plane-wave DFT calculation with PBE was carried out for TaVRu after structural relaxation.

a b c (Å): 2.814 4.324 4.324
angles (deg): 120.00 90.00 90.00
Atoms (fractional coordinates):
Ru (0.674, 0.333, 0.667)
Ta (0.335, 0.667, 0.333)
V (0.991, 0.000, 0.000)

Properties
Calculated formation energy (eV per atom): -0.16
Total magnetization (μB per formula unit): 0.0

A plane-wave DFT calculation with PBE was carried out for Ac5CdPt2 after structural relaxation.

a b c (Å): 8.343 8.739 9.549
angles (deg): 117.23 115.90 90.00
Atoms (fractional coordinates):
Ac (0.211, 0.029, 0.729)
Pt (0.357, 0.868, 0.000)
Pt (0.143, 0.368, 0.000)
Pt (0.643, 0.132, 0.000)
Ac (0.289, 0.800, 0.271)
Pt (0.857, 0.632, 0.000)
Ac (0.018, 0.529, 0.729)
Cd (0.750, 0.750, 0.500)
Ac (0.000, 0.000, 0.000)
Ac (0.500, 0.500, 0.000)
Ac (0.711, 0.200, 0.729)
Cd (0.250, 0.250, 0.500)
Ac (0.482, 0.300, 0.271)
Ac (0.518, 0.700, 0.729)
Ac (0.789, 0.971, 0.271)
Ac (0.982, 0.471, 0.271)

Properties
Calculated formation energy (eV per atom): -0.66
Total magnetization (μB per formula unit): 0.0

A plane-wave DFT calculation with PBE was carried out for EuAgPt after structural relaxation.

a b c (Å): 3.690 3.690 5.497
angles (deg): 109.61 109.61 90.00
Site moments in Bohr magnetons follow the coordinates.
Atoms (fractional coordinates):
Eu (0.958, 0.958, 0.916)  6.73
Pt (0.625, 0.625, 0.251)  -0.02
Ag (0.266, 0.266, 0.533)  0.02

Properties
Calculated formation energy (eV per atom): -0.39
Total magnetization (μB per formula unit): 7.0

A plane-wave DFT calculation with PBE was carried out for AsP2CS after structural relaxation.

a b c (Å): 4.018 4.018 4.396
angles (deg): 90.00 90.00 90.00
Atoms (fractional coordinates):
P (0.500, 0.000, 0.000)
C (0.000, 0.000, 0.000)
P (0.000, 0.500, 0.000)
As (0.500, 0.500, 0.500)
S (0.000, 0.000, 0.500)

Properties
Total magnetization (μB per formula unit): 0.0
Energy relative to the elements, uncorrected (eV/atom): 1.1926

A plane-wave DFT calculation with PBE was carried out for TlIrSe after structural relaxation.

a b c (Å): 4.134 4.134 5.197
angles (deg): 90.00 90.00 120.00
Atoms (fractional coordinates):
Ir (0.000, 0.000, 0.166)
Se (0.667, 0.333, 0.167)
Tl (0.333, 0.667, 0.667)

Properties
Total magnetization (μB per formula unit): 0.0
Energy relative to the elements, uncorrected (eV/atom): 0.2518

A plane-wave DFT calculation with PBE was carried out for Cs3Tl4As2Au2 after structural relaxation.

a b c (Å): 5.014 5.014 19.802
angles (deg): 90.00 90.00 120.00
Atoms (fractional coordinates):
Au (0.667, 0.333, 0.410)
Tl (0.333, 0.667, 0.857)
As (0.667, 0.333, 0.858)
As (0.333, 0.667, 0.142)
Cs (0.000, 0.000, 0.712)
Tl (0.333, 0.667, 0.442)
Cs (0.000, 0.000, 0.000)
Tl (0.667, 0.333, 0.143)
Tl (0.667, 0.333, 0.558)
Cs (0.000, 0.000, 0.288)
Au (0.333, 0.667, 0.590)

Properties
Calculated formation energy (eV per atom): -0.16
Total magnetization (μB per formula unit): 0.0

A plane-wave DFT calculation with PBE was carried out for TaSbP after structural relaxation.

a b c (Å): 5.512 5.512 5.512
angles (deg): 144.47 144.47 51.12
Atoms (fractional coordinates):
Ta (0.637, 0.637, 0.000)
Sb (0.327, 0.327, 0.000)
P (0.035, 0.035, 0.000)

Properties
Total magnetization (μB per formula unit): 0.0
Energy relative to the elements, uncorrected (eV/atom): -0.1830